A plane-wave DFT calculation with PBE was carried out for crystalline MnZnAgW2 at its relaxed geometry.

Cell: 4.611 4.425 4.611 Å, 90.00 90.00 90.00°
Each line ends with the local moment (μB).
Element x y z (fractional)
W: 0.000 0.000 0.500  -0.66
W: 0.500 0.000 0.000  -0.54
Ag: 0.500 0.500 0.500  -0.02
Zn: 0.000 0.000 0.000  -0.04
Mn: 0.000 0.500 0.000  3.45

Values from the calculation:
**Total moment**: 1.94 μB per formula unit
**SG**: P4/mmm
**Formation enthalpy at 0 K**: 172 kJ per mole of atoms
**DOS at the Fermi energy**: 4.55 states/eV/f.u.
**Total energy**: -6.06 eV/atom